Record 1
DFT (PBE) results for Zr7Zn2Co2 after structural relaxation.

Cell lengths 6.173, 6.173, 6.303 Å; angles 90.00, 90.00, 107.49 degrees
Atoms (fractional coordinates):
Zr 0.000 0.000 0.000
Zr 0.000 0.500 0.256
Zr 0.000 0.500 0.744
Zr 0.500 0.000 0.256
Zr 0.500 0.000 0.744
Zr 0.500 0.500 0.253
Zr 0.500 0.500 0.747
Zn 0.167 0.167 0.500
Zn 0.833 0.833 0.500
Co 0.283 0.717 0.000
Co 0.717 0.283 0.000

Symmetry ... Cmmm
Crystal system ... orthorhombic
Density ... 6.43 g/cm³

Record 2
DFT (PBE) results for Zr6ZnCo2 after structural relaxation.

Cell lengths 7.739, 7.739, 7.739 Å; angles 114.26, 112.10, 102.29 degrees
Atoms (fractional coordinates):
Zr 0.035 0.233 0.802
Zr 0.186 0.297 0.483
Zr 0.186 0.703 0.890
Zr 0.325 0.022 0.697
Zr 0.325 0.628 0.303
Zr 0.431 0.233 0.198
Zr 0.569 0.767 0.802
Zr 0.675 0.372 0.697
Zr 0.675 0.978 0.303
Zr 0.814 0.297 0.110
Zr 0.814 0.703 0.517
Zr 0.965 0.767 0.198
Zn 0.000 0.000 0.000
Zn 0.500 0.500 0.000
Co 0.128 0.628 0.500
Co 0.345 0.000 0.345
Co 0.655 0.000 0.655
Co 0.872 0.372 0.500

Symmetry ... Immm
Crystal system ... orthorhombic
Density ... 6.88 g/cm³

Record 3
DFT (PBE) results for Zr2ZnCo after structural relaxation.

Cell lengths 3.185, 3.185, 25.274 Å; angles 90.00, 90.00, 120.00 degrees
Atoms (fractional coordinates):
Zr 0.000 0.000 0.000
Zr 0.000 0.000 0.229
Zr 0.333 0.667 0.667
Zr 0.333 0.667 0.896
Zr 0.667 0.333 0.333
Zr 0.667 0.333 0.563
Zn 0.000 0.000 0.758
Zn 0.333 0.667 0.425
Zn 0.667 0.333 0.091
Co 0.000 0.000 0.491
Co 0.333 0.667 0.158
Co 0.667 0.333 0.825

Symmetry ... R3m
Crystal system ... trigonal
Density ... 6.88 g/cm³

Record 4
DFT (PBE) results for Zr2ZnCo after structural relaxation.

Cell lengths 3.193, 3.193, 6.868 Å; angles 90.00, 90.00, 90.00 degrees
Atoms (fractional coordinates):
Zr 0.000 0.000 0.000
Zr 0.500 0.500 0.316
Zn 0.500 0.500 0.727
Co 0.000 0.000 0.533

Symmetry ... P4mm
Crystal system ... tetragonal
Density ... 7.28 g/cm³

Record 5
DFT (PBE) results for Zr3Zn3Co after structural relaxation.

Cell lengths 9.000, 9.000, 9.000 Å; angles 60.00, 60.00, 60.00 degrees
Atoms (fractional coordinates):
Zr 0.083 0.083 0.667
Zr 0.083 0.667 0.083
Zr 0.083 0.667 0.667
Zr 0.333 0.333 0.917
Zr 0.333 0.917 0.333
Zr 0.333 0.917 0.917
Zr 0.667 0.083 0.083
Zr 0.667 0.083 0.667
Zr 0.667 0.667 0.083
Zr 0.917 0.333 0.333
Zr 0.917 0.333 0.917
Zr 0.917 0.917 0.333
Zn 0.000 0.500 0.500
Zn 0.293 0.293 0.293
Zn 0.293 0.293 0.622
Zn 0.293 0.622 0.293
Zn 0.378 0.707 0.707
Zn 0.500 0.000 0.500
Zn 0.500 0.500 0.000
Zn 0.500 0.500 0.500
Zn 0.622 0.293 0.293
Zn 0.707 0.378 0.707
Zn 0.707 0.707 0.378
Zn 0.707 0.707 0.707
Co 0.000 0.000 0.000
Co 0.000 0.000 0.500
Co 0.000 0.500 0.000
Co 0.500 0.000 0.000

Symmetry ... Fd-3m
Crystal system ... cubic
Density ... 6.81 g/cm³

Record 6
DFT (PBE) results for ZrZn20Co2 after structural relaxation.

Cell lengths 9.822, 9.822, 9.822 Å; angles 60.00, 60.00, 60.00 degrees
Atoms (fractional coordinates):
Zr 0.125 0.125 0.125
Zr 0.875 0.875 0.875
Zn 0.000 0.000 0.000
Zn 0.000 0.000 0.500
Zn 0.000 0.500 0.000
Zn 0.056 0.324 0.324
Zn 0.056 0.324 0.796
Zn 0.056 0.796 0.324
Zn 0.204 0.676 0.676
Zn 0.204 0.676 0.944
Zn 0.204 0.944 0.676
Zn 0.238 0.238 0.512
Zn 0.238 0.512 0.238
Zn 0.238 0.512 0.512
Zn 0.324 0.056 0.324
Zn 0.324 0.056 0.796
Zn 0.324 0.324 0.056
Zn 0.324 0.324 0.796
Zn 0.324 0.796 0.056
Zn 0.324 0.796 0.324
Zn 0.488 0.488 0.762
Zn 0.488 0.762 0.488
Zn 0.488 0.762 0.762
Zn 0.500 0.000 0.000
Zn 0.512 0.238 0.238
Zn 0.512 0.238 0.512
Zn 0.512 0.512 0.238
Zn 0.676 0.204 0.676
Zn 0.676 0.204 0.944
Zn 0.676 0.676 0.204
Zn 0.676 0.676 0.944
Zn 0.676 0.944 0.204
Zn 0.676 0.944 0.676
Zn 0.762 0.488 0.488
Zn 0.762 0.488 0.762
Zn 0.762 0.762 0.488
Zn 0.796 0.056 0.324
Zn 0.796 0.324 0.056
Zn 0.796 0.324 0.324
Zn 0.944 0.204 0.676
Zn 0.944 0.676 0.204
Zn 0.944 0.676 0.676
Co 0.000 0.500 0.500
Co 0.500 0.000 0.500
Co 0.500 0.500 0.000
Co 0.500 0.500 0.500

Symmetry ... Fd-3m
Crystal system ... cubic
Density ... 7.52 g/cm³

Record 7
DFT (PBE) results for Zr2ZnCo3 after structural relaxation.

Cell lengths 4.885, 4.885, 4.885 Å; angles 62.19, 62.19, 62.19 degrees
Atoms (fractional coordinates):
Zr 0.125 0.125 0.125
Zr 0.875 0.875 0.875
Zn 0.500 0.500 0.500
Co 0.000 0.500 0.500
Co 0.500 0.000 0.500
Co 0.500 0.500 0.000

Symmetry ... R-3m
Crystal system ... trigonal
Density ... 8.16 g/cm³

Record 8
DFT (PBE) results for Zr2ZnCo after structural relaxation.

Cell lengths 3.198, 4.541, 9.709 Å; angles 90.00, 90.00, 90.00 degrees
Atoms (fractional coordinates):
Zr 0.000 0.000 0.000
Zr 0.000 0.500 0.220
Zr 0.500 0.000 0.720
Zr 0.500 0.500 0.500
Zn 0.000 0.500 0.793
Zn 0.500 0.000 0.293
Co 0.000 0.000 0.499
Co 0.500 0.500 0.999

Symmetry ... Imm2
Crystal system ... orthorhombic
Density ... 7.23 g/cm³

Record 9
DFT (PBE) results for Zr4Zn3Co after structural relaxation.

Cell lengths 3.292, 3.292, 13.292 Å; angles 90.00, 90.00, 90.00 degrees
Atoms (fractional coordinates):
Zr 0.000 0.000 0.115
Zr 0.000 0.000 0.371
Zr 0.000 0.000 0.629
Zr 0.000 0.000 0.885
Zn 0.500 0.500 0.244
Zn 0.500 0.500 0.500
Zn 0.500 0.500 0.756
Co 0.500 0.500 0.000

Symmetry ... P4/mmm
Crystal system ... tetragonal
Density ... 7.15 g/cm³

Record 10
DFT (PBE) results for ZrZn4Co2 after structural relaxation.

Cell lengths 4.896, 6.375, 6.383 Å; angles 90.00, 90.00, 90.00 degrees
Atoms (fractional coordinates):
Zr 0.000 0.000 0.000
Zr 0.500 0.500 0.500
Zn 0.000 0.304 0.305
Zn 0.000 0.304 0.695
Zn 0.000 0.696 0.305
Zn 0.000 0.696 0.695
Zn 0.500 0.196 0.195
Zn 0.500 0.196 0.805
Zn 0.500 0.804 0.195
Zn 0.500 0.804 0.805
Co 0.250 0.000 0.500
Co 0.250 0.500 0.000
Co 0.750 0.000 0.500
Co 0.750 0.500 0.000

Symmetry ... Immm
Crystal system ... orthorhombic
Density ... 7.85 g/cm³

Record 11
DFT (PBE) results for ZrZn7Co5 after structural relaxation.

Cell lengths 6.486, 6.486, 6.486 Å; angles 135.44, 98.53, 98.00 degrees
Atoms (fractional coordinates):
Zr 0.000 0.000 0.000
Zn 0.162 0.454 0.707
Zn 0.290 0.949 0.342
Zn 0.324 0.324 0.000
Zn 0.607 0.949 0.658
Zn 0.647 0.647 0.000
Zn 0.732 0.232 0.500
Zn 0.747 0.454 0.293
Co 0.180 0.680 0.500
Co 0.442 0.446 0.486
Co 0.442 0.956 0.996
Co 0.960 0.446 0.004
Co 0.960 0.956 0.514

Symmetry ... Imm2
Crystal system ... orthorhombic
Density ... 7.91 g/cm³

Record 12
DFT (PBE) results for ZrCo after structural relaxation.

Cell lengths 6.925, 6.925, 6.925 Å; angles 90.00, 90.00, 90.00 degrees
Atoms (fractional coordinates):
Zr 0.000 0.250 0.500
Zr 0.000 0.750 0.500
Zr 0.250 0.500 0.000
Zr 0.500 0.000 0.250
Zr 0.500 0.000 0.750
Zr 0.750 0.500 0.000
Co 0.000 0.500 0.250
Co 0.000 0.500 0.750
Co 0.250 0.000 0.500
Co 0.500 0.250 0.000
Co 0.500 0.750 0.000
Co 0.750 0.000 0.500

Symmetry ... Pm-3n
Crystal system ... cubic
Density ... 4.50 g/cm³

Q: Which energy of formation values were calculated for the entries above? A: 13, -189, 80, -152, -185, -158, -265, -155, -266, -107, -115, 1127, in meV/atom.